No. 1
The following is a DFT calculation (GGA-PBE) of a geometry-optimized NaGa3Ir2 structure.

POSCAR file:
```
NaGa3Ir2
1.0
5.682 -0.022 -0.025
0.024 6.425 -0.314
0.024 -0.919 6.367
Ga Ir Na
6 4 2
Direct
0.250 0.005 0.005
0.750 0.995 0.995
0.250 0.954 0.523
0.250 0.523 0.954
0.750 0.477 0.046
0.750 0.046 0.477
0.500 0.209 0.791
0.000 0.792 0.208
0.500 0.791 0.209
0.000 0.208 0.792
0.250 0.406 0.406
0.750 0.594 0.594
```

Results
Crystal system: orthorhombic
ΔH_f (0 K): -0.369 eV per atom

---

No. 2
The following is a DFT calculation (GGA-PBE) of a geometry-optimized Na3GaIr structure.

POSCAR file:
```
Na3GaIr
1.0
-4.092 -3.295 -0.363
2.169 -2.224 -4.252
2.507 -3.453 3.085
Na Ga Ir
3 1 1
Direct
0.000 0.000 0.500
0.500 0.000 0.000
0.000 0.500 0.000
0.000 0.000 0.000
0.500 0.500 0.500
```

Results
Crystal system: cubic
ΔH_f (0 K): 1.141 eV per atom

---

No. 3
The following is a DFT calculation (GGA-PBE) of a geometry-optimized NaGa2Ir structure.

POSCAR file:
```
NaGa2Ir
1.0
-1.390 -0.668 4.001
1.318 -3.449 2.180
4.216 1.479 4.010
Ga Na Ir
2 1 1
Direct
0.036 0.036 0.891
0.298 0.298 0.105
0.492 0.492 0.525
0.674 0.674 0.979
```

Results
Crystal system: trigonal
ΔH_f (0 K): -0.224 eV per atom

---

No. 4
The following is a DFT calculation (GGA-PBE) of a geometry-optimized NaGa2Ir structure.

POSCAR file:
```
NaGa2Ir
1.0
5.548 0.000 0.000
0.000 5.548 0.000
2.774 2.774 7.642
Ga Ir Na
4 2 2
Direct
0.875 0.120 0.750
0.880 0.625 0.250
0.870 0.125 0.250
0.375 0.130 0.750
0.000 0.000 0.000
0.750 0.250 0.500
0.500 0.500 0.000
0.250 0.750 0.500
```

Results
Crystal system: tetragonal
ΔH_f (0 K): 0.015 eV per atom

---

No. 5
The following is a DFT calculation (GGA-PBE) of a geometry-optimized NaGa2Ir structure.

POSCAR file:
```
NaGa2Ir
1.0
4.274 0.000 0.000
2.137 3.701 0.000
2.137 1.234 5.184
Na Ir Ga
1 1 2
Direct
0.500 0.500 0.500
0.000 0.000 0.000
0.294 0.294 0.119
0.706 0.706 0.881
```

Results
Crystal system: trigonal
ΔH_f (0 K): -0.221 eV per atom

---

No. 6
The following is a DFT calculation (GGA-PBE) of a geometry-optimized Na2Ga5Ir structure.

POSCAR file:
```
Na2Ga5Ir
1.0
5.804 0.000 0.000
0.000 5.804 0.000
-2.902 -2.902 5.405
Ga Na Ir
5 2 1
Direct
0.289 0.289 0.040
0.752 0.289 0.040
0.752 0.752 0.040
0.289 0.752 0.040
0.698 0.698 0.396
0.287 0.787 0.575
0.787 0.287 0.575
0.924 0.924 0.847
```

Results
Crystal system: tetragonal
ΔH_f (0 K): -0.171 eV per atom

---

No. 7
The following is a DFT calculation (GGA-PBE) of a geometry-optimized Na2Ga3Ir2 structure.

POSCAR file:
```
Na2Ga3Ir2
1.0
-3.769 0.198 1.943
0.664 -2.871 -3.055
4.017 -4.709 8.291
Ir Na Ga
2 2 3
Direct
0.635 0.269 0.904
0.365 0.731 0.096
0.111 0.224 0.332
0.889 0.776 0.668
0.278 0.555 0.834
0.000 0.000 0.000
0.722 0.445 0.166
```

Results
Crystal system: triclinic
ΔH_f (0 K): -0.227 eV per atom

---

No. 8
The following is a DFT calculation (GGA-PBE) of a geometry-optimized NaGa9Ir2 structure.

POSCAR file:
```
NaGa9Ir2
1.0
3.776 0.000 0.000
0.000 8.284 0.000
0.000 -4.142 7.174
Ga Ir Na
9 2 1
Direct
0.500 0.394 0.197
0.500 0.197 0.394
0.500 0.803 0.197
0.500 0.197 0.803
0.000 0.500 0.500
0.000 0.500 0.000
0.500 0.803 0.606
0.500 0.606 0.803
0.000 0.000 0.500
0.000 0.333 0.667
0.000 0.667 0.333
0.000 0.000 0.000
```

Results
Crystal system: hexagonal
ΔH_f (0 K): -0.296 eV per atom

---

No. 9
The following is a DFT calculation (GGA-PBE) of a geometry-optimized NaGaIr2 structure.

POSCAR file:
```
NaGaIr2
1.0
4.461 0.000 0.000
0.000 4.461 0.000
2.230 2.230 8.862
Ir Ga Na
4 2 2
Direct
0.773 0.125 0.250
0.375 0.227 0.750
0.977 0.625 0.250
0.875 0.023 0.750
0.750 0.250 0.500
0.000 0.000 0.000
0.250 0.750 0.500
0.500 0.500 0.000
```

Results
Crystal system: tetragonal
ΔH_f (0 K): 0.411 eV per atom

---

No. 10
The following is a DFT calculation (GGA-PBE) of a geometry-optimized NaGa3Ir3 structure.

POSCAR file:
```
NaGa3Ir3
1.0
6.828 0.000 0.000
0.000 6.828 0.000
0.000 0.000 6.828
Ga Ir Na
6 6 2
Direct
0.250 0.000 0.500
0.500 0.750 0.000
0.750 0.000 0.500
0.000 0.500 0.250
0.500 0.250 0.000
0.000 0.500 0.750
0.750 0.500 0.000
0.250 0.500 0.000
0.000 0.250 0.500
0.500 0.000 0.750
0.500 0.000 0.250
0.000 0.750 0.500
0.000 0.000 0.000
0.500 0.500 0.500
```

Results
Crystal system: cubic
ΔH_f (0 K): 0.220 eV per atom

---

No. 11
The following is a DFT calculation (GGA-PBE) of a geometry-optimized NaNbGaIr2 structure.

POSCAR file:
```
NaNbGaIr2
1.0
-2.456 2.530 -2.844
0.364 -3.217 -3.177
-3.789 -1.948 1.539
Ir Nb Na Ga
2 1 1 1
Direct
0.500 0.000 0.000
0.000 0.000 0.500
0.000 0.500 0.000
0.000 0.000 0.000
0.500 0.500 0.500
```

Results
Crystal system: tetragonal
ΔH_f (0 K): 1.952 eV per atom

---

No. 12
The following is a DFT calculation (GGA-PBE) of a geometry-optimized NaGaIrO4 structure.

POSCAR file:
```
NaGaIrO4
1.0
6.129 0.000 0.000
-3.064 5.420 -0.433
0.000 -3.311 5.445
Ga O Na Ir
2 8 2 2
Direct
0.000 0.500 0.500
0.500 0.500 0.500
0.308 0.037 0.268
0.271 0.963 0.732
0.728 0.457 0.269
0.728 0.457 0.688
0.729 0.037 0.268
0.692 0.963 0.732
0.272 0.543 0.731
0.272 0.543 0.312
0.865 0.731 0.115
0.135 0.269 0.885
0.500 0.000 0.000
0.500 0.000 0.500
```

Results
Crystal system: orthorhombic
Raw formation energy: -1.3128 eV/atom

---

no.,density of states at the Fermi level (states/eV/f.u.),total moment (Bohr magnetons per cell)
1,2.56,0.0
2,4.06,1.2
3,1.40,0.0
4,0.27,0.0
5,1.94,0.0
6,2.36,0.0
7,2.29,0.0
8,1.64,0.0
9,3.37,0.6
10,3.06,0.0
11,4.96,0.0
12,2.86,2.1